Record 1
An optimized crystal structure of UNiPdO6. Source: the Alexandria database, functional GGA+U.

The structure belongs to space group P4_2nm (No. 102); the cell edges are 4.795, 4.795 and 9.509 Å and the angles 90.00°, 90.00° and 90.00°. Symmetry generates all atoms from U at (0.000, 0.000, 0.000), Ni at (0.000, 0.000, 0.668), Pd at (0.000, 0.000, 0.334), O at (0.189, 0.189, 0.498), O at (0.194, 0.194, 0.169) and O at (0.200, 0.200, 0.835).


Record 2
An optimized crystal structure of VNiPd2O6. Source: the Alexandria database, functional GGA+U.

The structure belongs to space group C2/c (No. 15); the cell edges are 10.001, 8.671 and 5.501 Å and the angles 90.00°, 97.73° and 90.00°. Symmetry generates all atoms from V at (0.000, 0.209, 0.250), Ni at (0.000, 0.340, 0.750), Pd at (0.244, 0.084, 0.665), O at (0.112, 0.315, 0.068), O at (0.119, 0.032, 0.361) and O at (0.126, 0.302, 0.527).


Record 3
An optimized crystal structure of V2NiPdO8. Source: the Alexandria database, functional GGA+U.

The structure belongs to space group P-3m1 (No. 164); the cell edges are 5.6686, 5.6686 and 5.6146 Å and the angles 90.00°, 90.00° and 120.00°. Symmetry generates all atoms from V at (0.3333, 0.6667, 0.1980), Ni at (0.0000, 0.0000, 0.0000), Pd at (0.0000, 0.0000, 0.5000), O at (0.1531, 0.3063, 0.2616) and O at (0.3333, 0.6667, 0.9096).


Record 4
An optimized crystal structure of YNiPdO4. Source: the Alexandria database, functional GGA+U.

The structure belongs to space group Imma (No. 74); the cell edges are 6.729, 6.988 and 7.608 Å and the angles 90.00°, 90.00° and 90.00°. Symmetry generates all atoms from Y at (0.250, 0.250, 0.250), Ni at (0.000, 0.250, 0.704), Pd at (0.000, 0.000, 0.000), O at (0.000, 0.034, 0.266) and O at (0.200, 0.250, 0.949).


Record 5
An optimized crystal structure of ZnNiPdO2. Source: the Alexandria database, functional GGA+U.

The structure belongs to space group P4/mmm (No. 123); the cell edges are 3.648, 3.648 and 4.835 Å and the angles 90.00°, 90.00° and 90.00°. Symmetry generates all atoms from Zn at (0.000, 0.000, 0.000), Ni at (0.500, 0.500, 0.500), Pd at (0.500, 0.500, 0.000) and O at (0.000, 0.500, 0.500).


Record 6
An optimized crystal structure of Pm2NiPtO6. Source: the Alexandria database, functional GGA+U.

The structure belongs to space group P2_1/c (No. 14); the cell edges are 5.440, 5.803 and 9.514 Å and the angles 90.00°, 124.83° and 90.00°. Symmetry generates all atoms from Pm at (0.230, 0.072, 0.251), Ni at (0.500, 0.000, 0.000), Pt at (0.000, 0.000, 0.500), O at (0.132, 0.200, 0.944), O at (0.253, 0.695, 0.946) and O at (0.359, 0.036, 0.749).


Record 7
An optimized crystal structure of PmNiPt2O8. Source: the Alexandria database, functional GGA+U.

The structure belongs to space group P-31m (No. 162); the cell edges are 5.1298, 5.1298 and 6.4284 Å and the angles 90.00°, 90.00° and 120.00°. Symmetry generates all atoms from Pm at (0.0000, 0.0000, 0.0000), Ni at (0.0000, 0.0000, 0.5000), Pt at (0.3333, 0.6667, 0.5000), O at (0.0000, 0.3327, 0.6720) and O at (0.3333, 0.6667, 0.0000).


Record 8
An optimized crystal structure of PmPuNiO6. Source: the Alexandria database, functional GGA+U.

The structure belongs to space group P-31c (No. 163); the cell edges are 5.3073, 5.3073 and 10.2990 Å and the angles 90.00°, 90.00° and 120.00°. Symmetry generates all atoms from Pm at (0.0000, 0.0000, 0.0000), Pu at (0.3333, 0.6667, 0.2500), Ni at (0.3333, 0.6667, 0.7500) and O at (0.0105, 0.3602, 0.1403).


no.,E_tot (eV/atom)
1,-7.1295
2,-5.7521
3,-6.3992
4,-6.3985
5,-3.7132
6,-6.9205
7,-5.6014
8,-8.0775